(1)
{
  "formula": "Co2RuW",
  "functional": "GGA-PBE",
  "state": "relaxed",
  "formation_energy_mev_per_atom": 157,
  "de_polymorph_mev_per_atom": 182,
  "lattice_angstrom": [[4.482, 0.000, 0.000], [0.000, 2.694, 0.000], [-1.466, 0.000, 4.313]],
  "species": ["Co", "Co", "Ru", "W"],
  "frac_coords": [[0.000, 0.000, 0.000], [0.000, 0.500, 0.500], [0.500, 0.000, 0.500], [0.500, 0.500, 0.000]]
}

---

(2)
{
  "formula": "Co2RuW",
  "functional": "GGA-PBE",
  "state": "relaxed",
  "formation_energy_mev_per_atom": 89,
  "de_polymorph_mev_per_atom": 114,
  "lattice_angstrom": [[2.651, 0.000, 0.000], [0.000, 3.650, 0.000], [0.000, 0.000, 5.255]],
  "species": ["Co", "Co", "Ru", "W"],
  "frac_coords": [[0.000, 0.000, 0.243], [0.000, 0.000, 0.757], [0.500, 0.500, 0.000], [0.500, 0.500, 0.500]]
}

---

(3)
{
  "formula": "CoRuW",
  "functional": "GGA-PBE",
  "state": "relaxed",
  "formation_energy_mev_per_atom": 71,
  "de_polymorph_mev_per_atom": 71,
  "lattice_angstrom": [[4.031, -2.329, 0.000], [4.031, 2.329, 0.000], [-2.843, 0.000, 4.358]],
  "species": ["Co", "Co", "Ru", "Ru", "W", "W"],
  "frac_coords": [[0.086, 0.914, 0.500], [0.914, 0.086, 0.000], [0.577, 0.756, 0.984], [0.756, 0.577, 0.484], [0.241, 0.425, 0.006], [0.425, 0.241, 0.506]]
}